Record 1
A plane-wave DFT calculation with GGA-PBE was carried out for crystalline InFe2Ge2 at its relaxed geometry.

M_tot	0.59	μB per cell
formation energy from the elements	0.26	eV/atom
SG	P4/mbm

Cell lengths 7.2280, 7.2280, 2.7756 Å; angles 90.00, 90.00, 90.00 degrees
Element x y z (fractional)
In 0.0000 0.0000 0.0000
In 0.5000 0.5000 0.0000
Ge 0.8619 0.6381 0.0000
Ge 0.1381 0.3619 0.0000
Ge 0.6381 0.1381 0.0000
Ge 0.3619 0.8619 0.0000
Fe 0.8483 0.3483 0.5000
Fe 0.3483 0.1517 0.5000
Fe 0.6517 0.8483 0.5000
Fe 0.1517 0.6517 0.5000


Record 2
A plane-wave DFT calculation with GGA-PBE was carried out for crystalline In2FeGe at its relaxed geometry.

M_tot	0.00	μB per cell
formation energy from the elements	0.10	eV/atom
SG	I4_1/amd

Cell lengths 9.8016, 9.8016, 7.2829 Å; angles 47.71, 47.71, 90.00 degrees
Element x y z (fractional)
Ge 0.0000 0.0000 0.0000
Ge 0.7500 0.2500 0.5000
In 0.8750 0.6247 0.7500
In 0.3753 0.6250 0.2500
In 0.3747 0.1250 0.2500
In 0.3750 0.6253 0.7500
Fe 0.5000 0.5000 0.0000
Fe 0.2500 0.7500 0.5000


Record 3
A plane-wave DFT calculation with GGA-PBE was carried out for crystalline In3FeGe at its relaxed geometry.

M_tot	2.98	μB per cell
formation energy from the elements	0.96	eV/atom
SG	Pm-3m

Cell lengths 5.3107, 5.3107, 5.3107 Å; angles 90.00, 90.00, 90.00 degrees
Element x y z (fractional)
Ge 0.0000 0.0000 0.0000
Fe 0.5000 0.5000 0.5000
In 0.0000 0.5000 0.0000
In 0.5000 0.0000 0.0000
In 0.0000 0.0000 0.5000


Record 4
A plane-wave DFT calculation with GGA-PBE was carried out for crystalline InFeGe at its relaxed geometry.

M_tot	2.96	μB per cell
formation energy from the elements	0.10	eV/atom
SG	C2/m

Cell lengths 3.0192, 6.6200, 7.0943 Å; angles 128.87, 102.29, 90.00 degrees
Element x y z (fractional)
Ge 0.3344 0.3687 0.6687
Ge 0.6656 0.6313 0.3313
Fe 0.8519 0.6786 0.7037
Fe 0.1481 0.3214 0.2963
In 0.4229 0.1015 0.8458
In 0.5771 0.8985 0.1542


Record 5
A plane-wave DFT calculation with GGA-PBE was carried out for crystalline In2Fe2Ge at its relaxed geometry.

M_tot	2.33	μB per cell
formation energy from the elements	0.18	eV/atom
SG	P4/mbm

Cell lengths 6.1797, 6.1797, 4.2303 Å; angles 90.00, 90.00, 90.00 degrees
Element x y z (fractional)
In 0.8338 0.3338 0.5000
In 0.3338 0.1662 0.5000
In 0.6662 0.8338 0.5000
In 0.1662 0.6662 0.5000
Fe 0.6417 0.1417 0.0000
Fe 0.3583 0.8583 0.0000
Fe 0.8583 0.6417 0.0000
Fe 0.1417 0.3583 0.0000
Ge 0.0000 0.0000 0.0000
Ge 0.5000 0.5000 0.0000


Record 6
A plane-wave DFT calculation with GGA-PBE was carried out for crystalline In2FeGe2 at its relaxed geometry.

M_tot	3.63	μB per cell
formation energy from the elements	0.24	eV/atom
SG	P4/mbm

Cell lengths 6.4202, 6.4202, 4.8691 Å; angles 90.00, 90.00, 90.00 degrees
Element x y z (fractional)
Ge 0.6471 0.1471 0.0000
Ge 0.1471 0.3529 0.0000
Ge 0.3529 0.8529 0.0000
Ge 0.8529 0.6471 0.0000
In 0.1778 0.6778 0.5000
In 0.8222 0.3222 0.5000
In 0.6778 0.8222 0.5000
In 0.3222 0.1778 0.5000
Fe 0.5000 0.5000 0.0000
Fe 0.0000 0.0000 0.0000


no.,final energy (eV/atom)
1,-5.5166
2,-4.5420
3,-3.2975
4,-5.1774
5,-5.2244
6,-4.3970